An optimized crystal structure of Li2NiF4. Source: Alexandria, functional PBE+U.

Cell and atoms, written as extended XYZ:
```
7
Lattice="5.1187 1.0761 -0.0022 1.0761 5.1187 0.0022 -3.0994 -3.0954 2.8566" Properties=species:S:1:pos:R:3 pbc="T T T"
Li 2.5521 0.5321 1.0192
Li 0.5440 2.5666 1.0214
Ni -0.0018 0.0017 2.4486
F 4.1076 2.0871 1.0185
F 2.0856 4.1091 1.0206
F 1.4146 1.4181 2.4490
F -1.4181 -1.4146 2.4490
```

Output
Electronic total energy: -32.0 eV per cell
Symmetry: Immm, No. 71
Mass density: 3.45 g/cm³
Offset from the most stable computed form: 42 meV per atom
D(E_F): 0.0 states/eV/f.u.